# PrSmIn4 PBE-GGA relaxed
data_PrSmIn4
_chemical_formula_sum 'Pr2 Sm2 In8'
_space_group_name_H-M_alt 'P 1'
_space_group_IT_number 1
_cell_length_a 5.045
_cell_length_b 5.317
_cell_length_c 12.347
_cell_angle_alpha 90.00
_cell_angle_beta 90.00
_cell_angle_gamma 90.00
loop_
_space_group_symop_operation_xyz
'x,y,z'
loop_
_atom_site_label
_atom_site_fract_x
_atom_site_fract_y
_atom_site_fract_z
_atom_site_occupancy
Pr1 0.000 0.000 0.000 1
Pr2 0.500 0.500 0.000 1
Sm1 0.000 0.500 0.500 1
Sm2 0.500 0.000 0.500 1
In1 0.000 0.000 0.326 1
In2 0.000 0.000 0.674 1
In3 0.000 0.500 0.181 1
In4 0.000 0.500 0.819 1
In5 0.500 0.000 0.181 1
In6 0.500 0.000 0.819 1
In7 0.500 0.500 0.326 1
In8 0.500 0.500 0.674 1
# Offset from the most stable computed form, eV per atom: 0.150
# ΔH_f (0 K), eV per formula unit: -1.91
# E, eV/atom: -3.73
# Total magnetization, μB per atom: 0.02



# PrSmIn PBE-GGA relaxed
data_PrSmIn
_chemical_formula_sum 'Pr2 Sm2 In2'
_space_group_name_H-M_alt 'P 1'
_space_group_IT_number 1
_cell_length_a 3.653
_cell_length_b 3.653
_cell_length_c 14.178
_cell_angle_alpha 90.00
_cell_angle_beta 90.00
_cell_angle_gamma 90.00
loop_
_space_group_symop_operation_xyz
'x,y,z'
loop_
_atom_site_label
_atom_site_fract_x
_atom_site_fract_y
_atom_site_fract_z
_atom_site_occupancy
Pr1 0.000 0.000 0.000 1
Pr2 0.500 0.500 0.500 1
Sm1 0.000 0.000 0.694 1
Sm2 0.500 0.500 0.194 1
In1 0.000 0.000 0.343 1
In2 0.500 0.500 0.843 1
# Offset from the most stable computed form, eV per atom: 0.052
# ΔH_f (0 K), eV per formula unit: -0.86
# E, eV/atom: -4.37
# Total magnetization, μB per atom: 0.00



# Pr2SmIn6 PBE-GGA relaxed
data_Pr2SmIn6
_chemical_formula_sum 'Pr2 Sm1 In6'
_space_group_name_H-M_alt 'P 1'
_space_group_IT_number 1
_cell_length_a 8.685
_cell_length_b 8.685
_cell_length_c 3.734
_cell_angle_alpha 90.00
_cell_angle_beta 90.00
_cell_angle_gamma 120.00
loop_
_space_group_symop_operation_xyz
'x,y,z'
loop_
_atom_site_label
_atom_site_fract_x
_atom_site_fract_y
_atom_site_fract_z
_atom_site_occupancy
Pr1 0.333 0.667 0.000 1
Pr2 0.667 0.333 0.000 1
Sm1 0.000 0.000 0.000 1
In1 0.000 0.332 0.500 1
In2 0.000 0.668 0.500 1
In3 0.332 0.000 0.500 1
In4 0.332 0.332 0.500 1
In5 0.668 0.000 0.500 1
In6 0.668 0.668 0.500 1
# ΔH_f (0 K), eV per formula unit: -4.20
# E, eV/atom: -3.88
# Total magnetization, μB per atom: 0.00



Number 1: calculated volume 27.60 Å³ per atom. Number 2: calculated volume 31.53 Å³ per atom. Number 3: calculated volume 27.10 Å³ per atom.